Computed, not measured: a relaxed structure of CoReOsSeO at the PBE+U level of DFT.

a b c (Å): 4.485 4.516 4.789
angles (deg): 81.96 82.04 63.35
Last column: magnetic moment on the atom in μB.
Element x y z (fractional)
Re1 0.102 0.770 0.839  -0.03
O1 0.786 0.182 0.637  -0.03
Se1 0.332 0.738 0.287  0.00
Os1 0.787 0.442 0.939  0.07
Co1 0.446 0.104 0.903  1.81

Properties
E_tot in eV/atom: -7.172
Excess energy over the best structure of this formula in the dataset in eV per atom: 0.401